Entry 1:
The following is a PBE calculation of NdEr2Al3Ge2Pt after structural relaxation, from OQMD via LeMat-Bulk.

VASP energy   -5.37 eV/atom
V   20.21 A^3/atom

Cell and atoms, written as CIF:
```
data_NdEr2Al3Ge2Pt
_space_group_name_H-M_alt 'A m m 2'
_space_group_IT_number 38
_space_group_name_Hall 'A 2 -2'
_cell_length_a 4.2530
_cell_length_b 12.1773
_cell_length_c 7.0237
_cell_angle_alpha 90.00
_cell_angle_beta 90.00
_cell_angle_gamma 90.00
loop_
_atom_site_label
_atom_site_fract_x
_atom_site_fract_y
_atom_site_fract_z
Nd1 0.0000 0.0000 0.0000
Er1 0.0000 0.2075 0.6215
Al1 0.5000 0.0000 0.6483
Al2 0.5000 0.1162 0.3019
Ge1 0.5000 0.1725 0.9130
Pt1 0.0000 0.0000 0.4281
```

---

Entry 2:
The following is a PBE calculation of Li2Zn2Ga2PdPt after structural relaxation, from OQMD via LeMat-Bulk.

VASP energy   -3.52 eV/atom
V   14.27 A^3/atom

Cell and atoms, written as CIF:
```
data_Li2Zn2Ga2PdPt
_space_group_name_H-M_alt 'P -4 m 2'
_space_group_IT_number 115
_space_group_name_Hall 'P -4 -2'
_cell_length_a 4.3227
_cell_length_b 4.3227
_cell_length_c 6.1090
_cell_angle_alpha 90.00
_cell_angle_beta 90.00
_cell_angle_gamma 90.00
loop_
_atom_site_label
_atom_site_fract_x
_atom_site_fract_y
_atom_site_fract_z
Li1 0.0000 0.0000 0.0000
Li2 0.5000 0.5000 0.5000
Zn1 0.0000 0.5000 0.7496
Ga1 0.0000 0.5000 0.2503
Pd1 0.0000 0.0000 0.5000
Pt1 0.5000 0.5000 0.0000
```

---

Entry 3:
The following is a PBE calculation of TbO after structural relaxation, from OQMD via LeMat-Bulk.

VASP energy   -7.49 eV/atom
V   18.56 A^3/atom

Cell and atoms, written as CIF:
```
data_TbO
_space_group_name_H-M_alt 'F -4 3 m'
_space_group_IT_number 216
_space_group_name_Hall 'F -4 2 3'
_cell_length_a 5.2948
_cell_length_b 5.2948
_cell_length_c 5.2948
_cell_angle_alpha 90.00
_cell_angle_beta 90.00
_cell_angle_gamma 90.00
loop_
_atom_site_label
_atom_site_fract_x
_atom_site_fract_y
_atom_site_fract_z
Tb1 0.0000 0.0000 0.0000
O1 0.2500 0.2500 0.2500
```

---

Entry 4:
The following is a PBE calculation of BiOs after structural relaxation, from OQMD via LeMat-Bulk.

VASP energy   -6.43 eV/atom
V   20.37 A^3/atom
Polymorph energy (0 for the lowest one)   56.09 kJ/mol of atoms

Cell and atoms, written as CIF:
```
data_BiOs
_space_group_name_H-M_alt 'P -6 m 2'
_space_group_IT_number 187
_space_group_name_Hall 'P -6 2'
_cell_length_a 3.3253
_cell_length_b 3.3253
_cell_length_c 4.2534
_cell_angle_alpha 90.00
_cell_angle_beta 90.00
_cell_angle_gamma 120.00
loop_
_atom_site_label
_atom_site_fract_x
_atom_site_fract_y
_atom_site_fract_z
Bi1 0.0000 0.0000 0.0000
Os1 0.6667 0.3333 0.5000
```

---

Entry 5:
The following is a PBE calculation of HfMgRe after structural relaxation, from OQMD via LeMat-Bulk.

VASP energy   -6.94 eV/atom
V   21.76 A^3/atom
Polymorph energy (0 for the lowest one)   42.02 kJ/mol of atoms

Cell and atoms, written as CIF:
```
data_HfMgRe
_space_group_name_H-M_alt 'F -4 3 m'
_space_group_IT_number 216
_space_group_name_Hall 'F -4 2 3'
_cell_length_a 6.3919
_cell_length_b 6.3919
_cell_length_c 6.3919
_cell_angle_alpha 90.00
_cell_angle_beta 90.00
_cell_angle_gamma 90.00
loop_
_atom_site_label
_atom_site_fract_x
_atom_site_fract_y
_atom_site_fract_z
Hf1 0.0000 0.0000 0.0000
Mg1 0.2500 0.2500 0.7500
Re1 0.2500 0.2500 0.2500
```

---

Entry 6:
The following is a PBE calculation of PrOF after structural relaxation, from OQMD via LeMat-Bulk.

VASP energy   -7.59 eV/atom
V   14.97 A^3/atom

Cell and atoms, written as CIF:
```
data_PrOF
_space_group_name_H-M_alt 'P 1 21/c 1'
_space_group_IT_number 14
_space_group_name_Hall '-P 2ybc'
_cell_length_a 11.2167
_cell_length_b 5.6680
_cell_length_c 11.3055
_cell_angle_alpha 90.00
_cell_angle_beta 90.04
_cell_angle_gamma 90.00
loop_
_atom_site_label
_atom_site_fract_x
_atom_site_fract_y
_atom_site_fract_z
Pr1 0.1244 0.2437 0.2382
Pr2 0.1254 0.7154 0.0126
Pr3 0.3746 0.2154 0.0126
Pr4 0.3758 0.7437 0.2382
O1 0.0041 0.5053 0.8681
O2 0.2424 0.5130 0.6250
O3 0.2576 0.0130 0.6251
O4 0.4959 0.0052 0.8681
F1 0.0071 0.0054 0.8837
F2 0.2417 0.5041 0.3748
F3 0.2582 0.0038 0.3749
F4 0.4930 0.5051 0.8837
```

---

Entry 7:
The following is a PBE calculation of UGaMo after structural relaxation, from OQMD via LeMat-Bulk.

VASP energy   -7.93 eV/atom
V   21.13 A^3/atom
Polymorph energy (0 for the lowest one)   0.00 kJ/mol of atoms

Cell and atoms, written as CIF:
```
data_UGaMo
_space_group_name_H-M_alt 'F -4 3 m'
_space_group_IT_number 216
_space_group_name_Hall 'F -4 2 3'
_cell_length_a 6.3298
_cell_length_b 6.3298
_cell_length_c 6.3298
_cell_angle_alpha 90.00
_cell_angle_beta 90.00
_cell_angle_gamma 90.00
loop_
_atom_site_label
_atom_site_fract_x
_atom_site_fract_y
_atom_site_fract_z
U1 0.0000 0.0000 0.0000
Ga1 0.0000 0.0000 0.5000
Mo1 0.2500 0.2500 0.7500
```

---

Entry 8:
The following is a PBE calculation of NbHgSeO after structural relaxation, from OQMD via LeMat-Bulk.

VASP energy   -5.74 eV/atom
V   18.41 A^3/atom
Polymorph energy (0 for the lowest one)   1.05 kJ/mol of atoms

Cell and atoms, written as CIF:
```
data_NbHgSeO
_space_group_name_H-M_alt 'P 1 21/c 1'
_space_group_IT_number 14
_space_group_name_Hall '-P 2ybc'
_cell_length_a 7.7057
_cell_length_b 6.6529
_cell_length_c 5.7502
_cell_angle_alpha 90.00
_cell_angle_beta 92.56
_cell_angle_gamma 90.00
loop_
_atom_site_label
_atom_site_fract_x
_atom_site_fract_y
_atom_site_fract_z
Nb1 0.0107 0.1273 0.2739
Hg1 0.4324 0.6983 0.5254
Se1 0.2387 0.1004 0.6010
O1 0.1058 0.6299 0.5961
```